# 1
Here is crystalline TaVCo4 at its relaxed geometry from Alexandria via LeMat-Bulk. Energies are from PBE-GGA.

Cell: 3.9958 4.7549 4.9627 Å, 63.33 66.29 65.31°
Closest atoms and distances in Å follow each position.
Fractional positions:
Ta (0.0000, 0.0000, 0.0000)  6 Co 2.53-2.57, 2 V 2.55
V (0.0000, 0.5000, 0.5000)  6 Co 2.39-2.44, 2 Ta 2.55
Co (0.3178, 0.0342, 0.3305)  1 V 2.39, 5 Co 2.48-2.61, 2 Ta 2.53
Co (0.3440, 0.5059, 0.8063)  2 V 2.44, 6 Co 2.56-2.73, 1 Ta 2.57
Co (0.6560, 0.4941, 0.1937)  2 V 2.44, 6 Co 2.56-2.73, 1 Ta 2.57
Co (0.6822, 0.9658, 0.6695)  1 V 2.39, 5 Co 2.48-2.61, 2 Ta 2.53

## Properties
magnetic moment = 3.37 μB per cell
distance to the lowest polymorph of the same formula = 117 meV/atom
crystal system = triclinic

# 2
Here is crystalline Ta4V4Co at its relaxed geometry from Alexandria via LeMat-Bulk. Energies are from PBE-GGA.

Cell: 7.1643 7.1626 4.7582 Å, 70.62 70.58 38.79°
Closest atoms and distances in Å follow each position.
Fractional positions:
Ta (0.1320, 0.6041, 0.8680)  4 V 2.66-2.92, 1 Co 2.82, 4 Ta 2.91
Ta (0.2357, 0.7643, 0.2357)  4 V 2.66-2.92, 1 Co 2.82, 4 Ta 2.91
Ta (0.6041, 0.1320, 0.3959)  4 V 2.66-2.92, 1 Co 2.82, 4 Ta 2.91
Ta (0.7643, 0.2357, 0.7643)  4 V 2.66-2.92, 1 Co 2.82, 4 Ta 2.91
V (0.4094, 0.8163, 0.5906)  1 Co 2.19
V (0.5517, 0.9589, 0.0411)  1 Co 2.19
V (0.8163, 0.4094, 0.1837)  1 Co 2.19
V (0.9589, 0.5517, 0.4483)  1 Co 2.19
Co (0.1841, 0.1841, 0.8159)  4 V 2.19

## Properties
magnetic moment = 0.00 μB per cell
crystal system = orthorhombic

# 3
Here is crystalline TaVCo2 at its relaxed geometry from Alexandria via LeMat-Bulk. Energies are from PBE-GGA.

Cell: 3.8080 3.8080 3.5758 Å, 90.00 90.00 90.00°
Closest atoms and distances in Å follow each position.
Fractional positions:
Ta (0.0000, 0.0000, 0.0000)  8 Co 2.61, 4 V 2.69
V (0.5000, 0.5000, 0.0000)  8 Co 2.61, 4 Ta 2.69
Co (0.0000, 0.5000, 0.5000)  4 Ta 2.61, 4 V 2.61, 4 Co 2.69
Co (0.5000, 0.0000, 0.5000)  4 Ta 2.61, 4 V 2.61, 4 Co 2.69

## Properties
magnetic moment = 0.00 μB per cell
distance to the lowest polymorph of the same formula = 24 meV/atom
crystal system = tetragonal

# 4
Here is crystalline TaVCo2 at its relaxed geometry from Alexandria via LeMat-Bulk. Energies are from PBE-GGA.

Cell: 4.9789 5.4770 8.7658 Å, 90.00 90.00 90.00°
Closest atoms and distances in Å follow each position.
Fractional positions:
Ta (0.2500, 0.0000, 0.0819)  3 V 2.65-2.77, 2 Ta 2.87
Ta (0.2500, 0.5000, 0.2952)  2 V 2.62, 4 Co 2.65-2.87
Ta (0.7500, 0.0000, 0.9181)  3 V 2.65-2.77, 2 Ta 2.87
Ta (0.7500, 0.5000, 0.7048)  2 V 2.62, 4 Co 2.65-2.87
V (0.2500, 0.0000, 0.7800)  4 Co 2.47-2.75, 1 Ta 2.65, 2 V 2.74
V (0.2500, 0.5000, 0.7991)  4 Co 2.16-2.26
V (0.7500, 0.0000, 0.2200)  4 Co 2.47-2.75, 1 Ta 2.65, 2 V 2.74
V (0.7500, 0.5000, 0.2009)  4 Co 2.16-2.26
Co (0.0000, 0.0000, 0.5000)  4 Co 2.18
Co (0.0000, 0.5000, 0.0000)  2 V 2.16
Co (0.2500, 0.3050, 0.5723)  3 Co 2.14-2.18, 1 V 2.26
Co (0.2500, 0.6950, 0.5723)  3 Co 2.14-2.18, 1 V 2.26
Co (0.5000, 0.0000, 0.5000)  4 Co 2.18
Co (0.5000, 0.5000, 0.0000)  2 V 2.16
Co (0.7500, 0.3050, 0.4277)  3 Co 2.14-2.18, 1 V 2.26
Co (0.7500, 0.6950, 0.4277)  3 Co 2.14-2.18, 1 V 2.26

## Properties
magnetic moment = 6.32 μB per cell
distance to the lowest polymorph of the same formula = 791 meV/atom
crystal system = orthorhombic

# 5
Here is crystalline TaV2Co5 at its relaxed geometry from Alexandria via LeMat-Bulk. Energies are from PBE-GGA.

Cell: 6.3528 6.3528 6.3528 Å, 156.39 104.75 80.16°
Closest atoms and distances in Å follow each position.
Fractional positions:
Ta (0.0000, 0.0000, 0.0000)  2 Ta 2.60, 8 Co 2.75, 4 V 2.80
V (0.2555, 0.7555, 0.5000)  7 Co 2.38-2.49, 2 V 2.60
V (0.7445, 0.2445, 0.5000)  7 Co 2.38-2.49, 2 V 2.60
Co (0.1364, 0.3702, 0.7662)  3 V 2.40-2.49, 7 Co 2.52-2.69
Co (0.3961, 0.6298, 0.7662)  3 V 2.40-2.49, 7 Co 2.52-2.69
Co (0.5000, 0.0000, 0.5000)  2 V 2.38, 10 Co 2.56-2.60
Co (0.6039, 0.3702, 0.2338)  3 V 2.40-2.49, 7 Co 2.52-2.69
Co (0.8636, 0.6298, 0.2338)  3 V 2.40-2.49, 7 Co 2.52-2.69

## Properties
magnetic moment = 3.39 μB per cell
distance to the lowest polymorph of the same formula = 205 meV/atom
crystal system = orthorhombic

# 6
Here is crystalline TaVCo4 at its relaxed geometry from Alexandria via LeMat-Bulk. Energies are from PBE-GGA.

Cell: 6.2766 6.2766 6.2766 Å, 139.97 100.24 93.24°
Closest atoms and distances in Å follow each position.
Fractional positions:
Ta (0.3715, 0.1215, 0.2500)  10 Co 2.53-2.74
Ta (0.6285, 0.8785, 0.7500)  10 Co 2.53-2.74
V (0.1238, 0.3738, 0.7500)  10 Co 2.41-2.69
V (0.8762, 0.6262, 0.2500)  10 Co 2.41-2.69
Co (0.0472, 0.1376, 0.9096)  3 V 2.41-2.50, 4 Co 2.54-2.57, 1 Ta 2.58
Co (0.2000, 0.6164, 0.5837)  5 Co 2.42-2.68, 2 V 2.48-2.69, 3 Ta 2.53-2.63
Co (0.2720, 0.8624, 0.4096)  3 V 2.41-2.50, 4 Co 2.54-2.57, 1 Ta 2.58
Co (0.4673, 0.3836, 0.0837)  5 Co 2.42-2.68, 2 V 2.48-2.69, 3 Ta 2.53-2.63
Co (0.5327, 0.6164, 0.9163)  5 Co 2.42-2.68, 2 V 2.48-2.69, 3 Ta 2.53-2.63
Co (0.7280, 0.1376, 0.5904)  3 V 2.41-2.50, 4 Co 2.54-2.57, 1 Ta 2.58
Co (0.8000, 0.3836, 0.4163)  5 Co 2.42-2.68, 2 V 2.48-2.69, 3 Ta 2.53-2.63
Co (0.9528, 0.8624, 0.0904)  3 V 2.41-2.50, 4 Co 2.54-2.57, 1 Ta 2.58

## Properties
magnetic moment = 6.35 μB per cell
distance to the lowest polymorph of the same formula = 73 meV/atom
crystal system = orthorhombic

# 7
Here is crystalline TaV2Co at its relaxed geometry from Alexandria via LeMat-Bulk. Energies are from PBE-GGA.

Cell: 5.4503 5.4503 5.4503 Å, 102.31 102.31 124.99°
Closest atoms and distances in Å follow each position.
Fractional positions:
Ta (0.0000, 0.0000, 0.0000)  2 Co 2.52, 4 V 2.67
Ta (0.7500, 0.2500, 0.5000)  2 Co 2.52, 4 V 2.67
V (0.1611, 0.6250, 0.0361)  2 Co 2.34, 2 V 2.56
V (0.3750, 0.4111, 0.5361)  2 Co 2.34, 2 V 2.56
V (0.5889, 0.1250, 0.9639)  2 Co 2.34, 2 V 2.56
V (0.8750, 0.8389, 0.4639)  2 Co 2.34, 2 V 2.56
Co (0.2500, 0.7500, 0.5000)  4 V 2.34, 2 Ta 2.52
Co (0.5000, 0.5000, 0.0000)  4 V 2.34, 2 Ta 2.52

## Properties
magnetic moment = 0.00 μB per cell
distance to the lowest polymorph of the same formula = 369 meV/atom
crystal system = tetragonal

# 8
Here is crystalline TaVCo2 at its relaxed geometry from Alexandria via LeMat-Bulk. Energies are from PBE-GGA.

Cell: 2.8252 2.8252 6.5241 Å, 90.00 90.00 90.00°
Closest atoms and distances in Å follow each position.
Fractional positions:
Ta (0.0000, 0.0000, 0.0000)  8 Co 2.76, 4 Ta 2.83
V (0.0000, 0.0000, 0.5000)  8 Co 2.41
Co (0.5000, 0.5000, 0.2920)  4 V 2.41
Co (0.5000, 0.5000, 0.7080)  4 V 2.41

## Properties
magnetic moment = 0.00 μB per cell
distance to the lowest polymorph of the same formula = 0 meV/atom
crystal system = tetragonal

The calculation returns the following formation energy from the elements values, one per record and in order: -12, 194, -122, 646, 34, -56, 367, -146 meV per atom.